# 1
Material: Be2Pd2Pb
Method: DFT, PBE
State: optimized geometry

Cell lengths 6.853, 6.853, 3.106 Å; angles 90.00, 90.00, 90.00 degrees
Fractional positions:
Be (0.118, 0.382, 0.000)
Be (0.382, 0.882, 0.000)
Be (0.618, 0.118, 0.000)
Be (0.882, 0.618, 0.000)
Pd (0.151, 0.651, 0.500)
Pd (0.349, 0.151, 0.500)
Pd (0.651, 0.849, 0.500)
Pd (0.849, 0.349, 0.500)
Pb (0.000, 0.000, 0.000)
Pb (0.500, 0.500, 0.000)

Properties
Total energy, hartree per atom: -0.1654
Formation energy, eV/atom: -0.192
Calculated density, g/cm3: 9.98
Size of the total moment, μB/f.u.: 0.00
Excess energy over the best structure of this formula in the dataset, eV per atom: 0.000



# 2
Material: Ti5Ga4Au
Method: DFT, PBE
State: optimized geometry

Cell lengths 2.841, 2.841, 19.786 Å; angles 90.00, 90.00, 90.00 degrees
Fractional positions:
Ti (0.000, 0.000, 0.000)
Ti (0.000, 0.000, 0.199)
Ti (0.000, 0.000, 0.395)
Ti (0.000, 0.000, 0.605)
Ti (0.000, 0.000, 0.801)
Ga (0.500, 0.500, 0.100)
Ga (0.500, 0.500, 0.298)
Ga (0.500, 0.500, 0.702)
Ga (0.500, 0.500, 0.900)
Au (0.500, 0.500, 0.500)

Properties
Total energy, hartree per atom: -0.2181
Formation energy, eV/atom: -0.449
Calculated density, g/cm3: 7.43
Size of the total moment, μB/f.u.: 0.00
Excess energy over the best structure of this formula in the dataset, eV per atom: 0.000



# 3
Material: NaTaSeBr2
Method: DFT, PBE
State: optimized geometry

Cell lengths 5.267, 5.267, 5.045 Å; angles 90.00, 90.00, 90.00 degrees
Fractional positions:
Na (0.000, 0.000, 0.000)
Ta (0.500, 0.500, 0.500)
Se (0.500, 0.500, 0.000)
Br (0.000, 0.500, 0.500)
Br (0.500, 0.000, 0.500)

Properties
Formation energy without anion corrections, eV per atom: -0.535
Total energy, hartree per atom: -0.1667
Calculated density, g/cm3: 5.25
Size of the total moment, μB/f.u.: 0.57
Excess energy over the best structure of this formula in the dataset, eV per atom: 0.000



# 4
Material: PrNd5Tm3
Method: DFT, PBE
State: optimized geometry

Cell lengths 10.646, 10.646, 11.610 Å; angles 120.59, 120.59, 34.25 degrees
Fractional positions:
Pr (0.131, 0.869, 0.750)
Pr (0.869, 0.131, 0.250)
Nd (0.002, 0.637, 0.165)
Nd (0.183, 0.536, 0.844)
Nd (0.363, 0.998, 0.335)
Nd (0.386, 0.614, 0.250)
Nd (0.464, 0.817, 0.656)
Nd (0.536, 0.183, 0.344)
Nd (0.614, 0.386, 0.750)
Nd (0.637, 0.002, 0.665)
Nd (0.817, 0.464, 0.156)
Nd (0.998, 0.363, 0.835)
Tm (0.000, 0.000, 0.000)
Tm (0.000, 0.000, 0.500)
Tm (0.045, 0.600, 0.471)
Tm (0.400, 0.955, 0.029)
Tm (0.600, 0.045, 0.971)
Tm (0.955, 0.400, 0.529)

Properties
Total energy, hartree per atom: -0.1610
Formation energy, eV/atom: 0.288
Calculated density, g/cm3: 7.25
Size of the total moment, μB/f.u.: 0.00
Excess energy over the best structure of this formula in the dataset, eV per atom: 0.000



# 5
Material: Mo2PAu
Method: DFT, PBE
State: optimized geometry

Cell lengths 3.347, 4.280, 4.417 Å; angles 90.00, 90.00, 90.00 degrees
Fractional positions:
Mo (0.000, 0.000, 0.000)
Mo (0.500, 0.500, 0.000)
P (0.000, 0.500, 0.500)
Au (0.500, 0.000, 0.500)

Properties
Total energy, hartree per atom: -0.2635
Formation energy, eV/atom: 0.417
Calculated density, g/cm3: 11.02
Size of the total moment, μB/f.u.: 0.00



# 6
Material: TlRe2Os
Method: DFT, PBE
State: optimized geometry

Cell lengths 2.870, 2.870, 27.994 Å; angles 90.00, 90.00, 120.00 degrees
Fractional positions:
Tl (0.000, 0.000, 0.000)
Tl (0.333, 0.667, 0.667)
Tl (0.667, 0.333, 0.333)
Re (0.000, 0.000, 0.501)
Re (0.000, 0.000, 0.758)
Re (0.333, 0.667, 0.167)
Re (0.333, 0.667, 0.425)
Re (0.667, 0.333, 0.092)
Re (0.667, 0.333, 0.834)
Os (0.000, 0.000, 0.243)
Os (0.333, 0.667, 0.909)
Os (0.667, 0.333, 0.576)

Properties
Total energy, hartree per atom: -0.3321
Formation energy, eV/atom: 0.587
Calculated density, g/cm3: 19.13
Size of the total moment, μB/f.u.: 0.00
Excess energy over the best structure of this formula in the dataset, eV per atom: 0.002



# 7
Material: Tb2Pm2Pr2Nd
Method: DFT, PBE
State: optimized geometry

Cell lengths 11.527, 5.154, 8.173 Å; angles 90.00, 98.03, 90.00 degrees
Fractional positions:
Tb (0.072, 0.000, 0.214)
Tb (0.428, 0.500, 0.786)
Tb (0.572, 0.500, 0.214)
Tb (0.928, 0.000, 0.786)
Pm (0.215, 0.000, 0.642)
Pm (0.285, 0.500, 0.358)
Pm (0.715, 0.500, 0.642)
Pm (0.785, 0.000, 0.358)
Pr (0.142, 0.500, 0.928)
Pr (0.358, 0.000, 0.072)
Pr (0.642, 0.000, 0.928)
Pr (0.858, 0.500, 0.072)
Nd (0.000, 0.500, 0.500)
Nd (0.500, 0.000, 0.500)

Properties
Total energy, hartree per atom: -0.1732
Formation energy, eV/atom: 0.014
Calculated density, g/cm3: 7.14
Size of the total moment, μB/f.u.: 0.00



# 8
Material: Rb3Co2S4
Method: DFT, PBE
State: optimized geometry

Cell lengths 8.712, 8.712, 6.668 Å; angles 95.78, 95.78, 71.42 degrees
Fractional positions:
Rb (0.084, 0.916, 0.750)
Rb (0.236, 0.516, 0.454)
Rb (0.484, 0.764, 0.046)
Rb (0.516, 0.236, 0.954)
Rb (0.764, 0.484, 0.546)
Rb (0.916, 0.084, 0.250)
Co (0.094, 0.344, 0.953)
Co (0.344, 0.094, 0.453)
Co (0.656, 0.906, 0.547)
Co (0.906, 0.656, 0.047)
S (0.148, 0.236, 0.644)
S (0.163, 0.571, 0.976)
S (0.236, 0.148, 0.144)
S (0.429, 0.837, 0.524)
S (0.571, 0.163, 0.476)
S (0.764, 0.852, 0.856)
S (0.837, 0.429, 0.024)
S (0.852, 0.764, 0.356)

Properties
Formation energy without anion corrections, eV per atom: -0.711
Total energy, hartree per atom: -0.1634
Calculated density, g/cm3: 3.51
Size of the total moment, μB/f.u.: 3.09



# 9
Material: Ba8HgPd4
Method: DFT, PBE
State: optimized geometry

Cell lengths 9.053, 9.053, 11.210 Å; angles 126.17, 126.17, 62.45 degrees
Fractional positions:
Ba (0.192, 0.698, 0.667)
Ba (0.193, 0.193, 0.163)
Ba (0.302, 0.808, 0.333)
Ba (0.304, 0.304, 0.833)
Ba (0.696, 0.696, 0.167)
Ba (0.698, 0.192, 0.667)
Ba (0.807, 0.807, 0.837)
Ba (0.808, 0.302, 0.333)
Hg (0.500, 0.500, 0.500)
Pd (0.253, 0.747, 0.000)
Pd (0.254, 0.254, 0.501)
Pd (0.746, 0.746, 0.499)
Pd (0.747, 0.253, 0.000)

Properties
Total energy, hartree per atom: -0.1190
Formation energy, eV/atom: -0.433
Calculated density, g/cm3: 4.86
Size of the total moment, μB/f.u.: 0.00



# 10
Material: SrMoRh2
Method: DFT, PBE
State: optimized geometry

Cell lengths 6.643, 6.643, 6.643 Å; angles 90.00, 90.00, 90.00 degrees
Fractional positions:
Sr (0.000, 0.000, 0.000)
Sr (0.000, 0.500, 0.500)
Sr (0.500, 0.000, 0.500)
Sr (0.500, 0.500, 0.000)
Mo (0.000, 0.000, 0.500)
Mo (0.000, 0.500, 0.000)
Mo (0.500, 0.000, 0.000)
Mo (0.500, 0.500, 0.500)
Rh (0.250, 0.250, 0.250)
Rh (0.250, 0.250, 0.750)
Rh (0.250, 0.750, 0.250)
Rh (0.250, 0.750, 0.750)
Rh (0.750, 0.250, 0.250)
Rh (0.750, 0.250, 0.750)
Rh (0.750, 0.750, 0.250)
Rh (0.750, 0.750, 0.750)

Properties
Total energy, hartree per atom: -0.2345
Formation energy, eV/atom: 0.422
Calculated density, g/cm3: 8.82
Size of the total moment, μB/f.u.: 0.63
Excess energy over the best structure of this formula in the dataset, eV per atom: 0.401



# 11
Material: BaNpPt10
Method: DFT, PBE
State: optimized geometry

Cell lengths 4.412, 5.492, 9.499 Å; angles 90.00, 90.00, 90.00 degrees
Fractional positions:
Ba (0.000, 0.000, 0.000)
Np (0.000, 0.500, 0.500)
Pt (0.000, 0.000, 0.341)
Pt (0.000, 0.000, 0.659)
Pt (0.000, 0.500, 0.180)
Pt (0.000, 0.500, 0.820)
Pt (0.500, 0.000, 0.500)
Pt (0.500, 0.255, 0.259)
Pt (0.500, 0.255, 0.741)
Pt (0.500, 0.500, 0.000)
Pt (0.500, 0.745, 0.259)
Pt (0.500, 0.745, 0.741)

Properties
Total energy, hartree per atom: -0.2476
Formation energy, eV/atom: -0.464
Calculated density, g/cm3: 16.78
Size of the total moment, μB/f.u.: 3.40



# 12
Material: Ti2HSeF
Method: DFT, PBE
State: optimized geometry

Cell lengths 4.919, 4.919, 3.304 Å; angles 90.00, 90.00, 90.00 degrees
Fractional positions:
Ti (0.000, 0.500, 0.000)
Ti (0.500, 0.000, 0.000)
H (0.000, 0.000, 0.500)
Se (0.000, 0.000, 0.000)
F (0.500, 0.500, 0.500)

Properties
Total energy, hartree per atom: -0.1796
Calculated density, g/cm3: 4.04
Size of the total moment, μB/f.u.: 0.92



# 13
Material: La5In2Os2
Method: DFT, PBE
State: optimized geometry

Cell lengths 9.286, 9.286, 8.075 Å; angles 90.00, 90.00, 49.82 degrees
Fractional positions:
La (0.000, 0.000, 0.000)
La (0.055, 0.717, 0.670)
La (0.217, 0.555, 0.170)
La (0.283, 0.945, 0.670)
La (0.445, 0.783, 0.170)
La (0.500, 0.500, 0.500)
La (0.555, 0.217, 0.830)
La (0.717, 0.055, 0.330)
La (0.783, 0.445, 0.830)
La (0.945, 0.283, 0.330)
In (0.220, 0.220, 0.000)
In (0.280, 0.280, 0.500)
In (0.720, 0.720, 0.500)
In (0.780, 0.780, 0.000)
Os (0.129, 0.871, 0.370)
Os (0.371, 0.629, 0.870)
Os (0.629, 0.371, 0.130)
Os (0.871, 0.129, 0.630)

Properties
Total energy, hartree per atom: -0.2238
Formation energy, eV/atom: -0.250
Calculated density, g/cm3: 8.14
Size of the total moment, μB/f.u.: 0.00



# 14
Material: AcHoAu
Method: DFT, PBE
State: optimized geometry

Cell lengths 3.752, 3.752, 13.105 Å; angles 90.00, 90.00, 90.00 degrees
Fractional positions:
Ac (0.000, 0.000, 0.000)
Ac (0.500, 0.500, 0.500)
Ho (0.000, 0.000, 0.280)
Ho (0.500, 0.500, 0.780)
Au (0.000, 0.000, 0.676)
Au (0.500, 0.500, 0.176)

Properties
Total energy, hartree per atom: -0.1651
Formation energy, eV/atom: -0.505
Calculated density, g/cm3: 10.60
Size of the total moment, μB/f.u.: 0.00
Excess energy over the best structure of this formula in the dataset, eV per atom: 0.089



# 15
Material: Cs3KTl2F6
Method: DFT, PBE
State: optimized geometry

Cell lengths 7.156, 7.156, 7.170 Å; angles 99.57, 99.57, 119.99 degrees
Fractional positions:
Cs (0.000, 0.000, 0.000)
Cs (0.332, 0.668, 0.000)
Cs (0.668, 0.332, 0.000)
K (0.500, 0.500, 0.500)
Tl (0.167, 0.833, 0.500)
Tl (0.833, 0.167, 0.500)
F (0.099, 0.424, 0.272)
F (0.252, 0.252, 0.732)
F (0.424, 0.099, 0.272)
F (0.576, 0.901, 0.728)
F (0.748, 0.748, 0.268)
F (0.901, 0.576, 0.728)

Properties
Formation energy without anion corrections, eV per atom: -2.343
Total energy, hartree per atom: -0.1462
Calculated density, g/cm3: 5.32
Size of the total moment, μB/f.u.: 0.00



# 16
Material: LaY2ScH
Method: DFT, PBE
State: optimized geometry

Cell lengths 4.975, 4.975, 5.053 Å; angles 90.00, 90.00, 90.00 degrees
Fractional positions:
La (0.000, 0.000, 0.000)
Y (0.000, 0.500, 0.500)
Y (0.500, 0.000, 0.500)
Sc (0.500, 0.500, 0.000)
H (0.000, 0.000, 0.500)

Properties
Total energy, hartree per atom: -0.2074
Calculated density, g/cm3: 4.82
Size of the total moment, μB/f.u.: 0.00
Excess energy over the best structure of this formula in the dataset, eV per atom: 0.000



# 17
Material: Mg3CuO
Method: DFT, PBE
State: optimized geometry

Cell lengths 4.756, 4.756, 4.756 Å; angles 90.00, 90.00, 90.00 degrees
Fractional positions:
Mg (0.000, 0.000, 0.500)
Mg (0.000, 0.500, 0.000)
Mg (0.500, 0.000, 0.000)
Cu (0.000, 0.000, 0.000)
O (0.500, 0.500, 0.500)

Properties
Formation energy without anion corrections, eV per atom: 0.313
Total energy, hartree per atom: -0.0902
Calculated density, g/cm3: 2.35
Size of the total moment, μB/f.u.: 0.00
Excess energy over the best structure of this formula in the dataset, eV per atom: 1.222



# 18
Material: Ti3BiAs
Method: DFT, PBE
State: optimized geometry

Cell lengths 5.203, 5.203, 5.203 Å; angles 90.00, 90.00, 90.00 degrees
Fractional positions:
Ti (0.000, 0.000, 0.500)
Ti (0.000, 0.500, 0.000)
Ti (0.500, 0.000, 0.000)
Bi (0.000, 0.000, 0.000)
As (0.500, 0.500, 0.500)

Properties
Total energy, hartree per atom: -0.1970
Formation energy, eV/atom: 1.083
Calculated density, g/cm3: 5.04
Size of the total moment, μB/f.u.: 5.99
Excess energy over the best structure of this formula in the dataset, eV per atom: 1.061



# 19
Material: Tm2Sc5In
Method: DFT, PBE
State: optimized geometry

Cell lengths 6.596, 13.214, 4.639 Å; angles 90.00, 90.00, 90.00 degrees
Fractional positions:
Tm (0.245, 0.128, 0.000)
Tm (0.255, 0.628, 0.000)
Tm (0.745, 0.372, 0.000)
Tm (0.755, 0.872, 0.000)
Sc (0.000, 0.000, 0.500)
Sc (0.003, 0.256, 0.500)
Sc (0.244, 0.875, 0.000)
Sc (0.256, 0.375, 0.000)
Sc (0.497, 0.756, 0.500)
Sc (0.500, 0.500, 0.500)
Sc (0.503, 0.244, 0.500)
Sc (0.744, 0.625, 0.000)
Sc (0.756, 0.125, 0.000)
Sc (0.997, 0.744, 0.500)
In (0.000, 0.500, 0.500)
In (0.500, 0.000, 0.500)

Properties
Total energy, hartree per atom: -0.2023
Formation energy, eV/atom: -0.088
Calculated density, g/cm3: 5.56
Size of the total moment, μB/f.u.: 0.00



# 20
Material: TaCd2P
Method: DFT, PBE
State: optimized geometry

Cell lengths 2.926, 2.926, 9.032 Å; angles 90.00, 90.00, 90.00 degrees
Fractional positions:
Ta (0.000, 0.000, 0.000)
Cd (0.500, 0.500, 0.250)
Cd (0.500, 0.500, 0.750)
P (0.000, 0.000, 0.500)

Properties
Total energy, hartree per atom: -0.1598
Formation energy, eV/atom: 0.424
Calculated density, g/cm3: 9.38
Size of the total moment, μB/f.u.: 0.00